An optimized crystal structure of Ba2ZrHgSe5. Source: Alexandria via LeMat-Bulk, functional PBE-GGA.

Calculated values
ΔE_f (raw)   -135 kJ per mole of atoms

Unit cell a=4.2165 b=9.8381 c=13.2941 alpha=90.00 beta=90.00 gamma=102.37
Positions (direct):
Se  0.2995  0.5990  0.3744
Ba  0.8704  0.7409  0.8096
Se  0.7005  0.4010  0.8744
Se  0.6488  0.2977  0.5064
Se  0.5035  0.0070  0.2673
Hg  0.4585  0.9170  0.4491
Se  0.9279  0.8558  0.5611
Ba  0.1296  0.2591  0.3096
Se  0.7145  0.4291  0.1483
Zr  0.7862  0.5724  0.5127
Se  0.0721  0.1442  0.0611
Se  0.4965  0.9930  0.7673
Se  0.3512  0.7023  0.0064
Ba  0.8833  0.7665  0.1950
Hg  0.5415  0.0830  0.9491
Zr  0.2138  0.4276  0.0127
Ba  0.1167  0.2335  0.6950
Se  0.2855  0.5709  0.6483